# 1
Compound: KSrCo2Br8
Source: the Alexandria database
Functional: PBE
Structure: optimized geometry

Results
Fermi-level density of states ... 13.07 states/eV per cell
ΔE_f (raw) ... -0.9649 eV/atom
Space group ... R-3, No. 148

Unit cell a=6.964 b=6.964 c=10.780 alpha=71.15 beta=71.15 gamma=60.00
Fractional coordinates of all 12 atoms:
Co: 0.753 0.753 0.740
Co: 0.247 0.247 0.260
Sr: 0.000 0.000 0.000
Br: 0.702 0.064 0.816
Br: 0.936 0.582 0.184
Br: 0.298 0.936 0.184
Br: 0.418 0.702 0.816
Br: 0.064 0.418 0.816
Br: 0.582 0.298 0.184
Br: 0.830 0.830 0.509
Br: 0.170 0.170 0.491
K: 0.500 0.500 0.500

***

# 2
Compound: MgRu2Br
Source: the Alexandria database
Functional: PBE
Structure: optimized geometry

Results
Fermi-level density of states ... 4.65 states/eV per cell
ΔE_f (raw) ... 0.5229 eV/atom
Energy above the most stable polymorph in this dataset ... 408 meV per atom
Space group ... P2/m, No. 10

Unit cell a=4.686 b=3.165 c=4.680 alpha=91.94 beta=90.00 gamma=90.00
Fractional coordinates of all 4 atoms:
Br: 0.500 0.250 0.250
Ru: 0.000 0.099 0.980
Ru: 0.000 0.401 0.520
Mg: 0.500 0.750 0.750